BeCdPtN2 after structural relaxation, computed with PBE.

Formation energy (no corrections) in eV/atom: 1.334
VASP energy in eV per atom: -4.133

Geometry as CIF:
```
data_BeCdPtN2
_space_group_name_H-M_alt 'P 4/m m m'
_space_group_IT_number 123
_space_group_name_Hall '-P 4 2'
_cell_length_a 3.740
_cell_length_b 3.740
_cell_length_c 6.390
_cell_angle_alpha 90.00
_cell_angle_beta 90.00
_cell_angle_gamma 90.00
loop_
_atom_site_label
_atom_site_fract_x
_atom_site_fract_y
_atom_site_fract_z
Be1 0.000 0.000 0.000
Cd1 0.500 0.500 0.000
Pt1 0.500 0.500 0.500
N1 0.000 0.500 0.500
```